1 | DFT (PBE-GGA) results for a relaxed Mg3ReOs crystal.

abc: 4.919 4.919 4.919
angles: 90.00 90.00 90.00
Fractional positions:
Mg 0.000 0.000 0.500
Mg 0.000 0.500 0.000
Mg 0.500 0.000 0.000
Os 0.500 0.500 0.500
Re 0.000 0.000 0.000

2 | DFT (PBE-GGA) results for a relaxed Mg3ReOs crystal.

abc: 4.876 4.876 4.876
angles: 90.00 90.00 90.00
Fractional positions:
Mg 0.500 0.000 0.000
Mg 0.000 0.000 0.500
Mg 0.000 0.500 0.000
Os 0.000 0.000 0.000
Re 0.500 0.500 0.500

Pick 2: it beats the second-best structure by 395 meV per atom.

1 | DFT (PBE-GGA) results for a relaxed Mg2ReOs2 crystal.

abc: 7.628 7.628 2.678
angles: 90.00 90.00 90.00
Fractional positions:
Mg 0.882 0.618 0.000
Mg 0.618 0.118 0.000
Mg 0.118 0.382 0.000
Mg 0.382 0.882 0.000
Os 0.683 0.817 0.500
Os 0.817 0.317 0.500
Os 0.317 0.183 0.500
Os 0.183 0.683 0.500
Re 0.000 0.000 0.000
Re 0.500 0.500 0.000

2 | DFT (PBE-GGA) results for a relaxed Mg2ReOs2 crystal.

abc: 3.471 3.471 8.149
angles: 77.70 77.70 90.00
Fractional positions:
Os 0.250 0.750 0.500
Os 0.750 0.250 0.500
Mg 0.399 0.399 0.201
Mg 0.601 0.601 0.799
Re 0.000 0.000 0.000

Pick 1: it beats the second-best structure by 287 meV per atom.

1 | DFT (PBE-GGA) results for a relaxed MgRe2Os2 crystal.

abc: 7.686 7.686 2.763
angles: 90.00 90.00 90.00
Fractional positions:
Os 0.668 0.832 0.500
Os 0.168 0.668 0.500
Os 0.332 0.168 0.500
Os 0.832 0.332 0.500
Re 0.622 0.122 0.000
Re 0.878 0.622 0.000
Re 0.122 0.378 0.000
Re 0.378 0.878 0.000
Mg 0.000 0.000 0.000
Mg 0.500 0.500 0.000

2 | DFT (PBE-GGA) results for a relaxed MgRe2Os2 crystal.

abc: 7.645 7.645 2.780
angles: 90.00 90.00 90.00
Fractional positions:
Re 0.165 0.665 0.500
Re 0.665 0.835 0.500
Re 0.335 0.165 0.500
Re 0.835 0.335 0.500
Mg 0.500 0.500 0.000
Mg 0.000 0.000 0.000
Os 0.126 0.374 0.000
Os 0.374 0.874 0.000
Os 0.626 0.126 0.000
Os 0.874 0.626 0.000

3 | DFT (PBE-GGA) results for a relaxed MgRe2Os2 crystal.

abc: 5.973 5.973 5.973
angles: 138.76 138.76 59.75
Fractional positions:
Re 0.250 0.750 0.500
Re 0.750 0.250 0.500
Os 0.382 0.382 0.000
Os 0.618 0.618 0.000
Mg 0.000 0.000 0.000

Pick 2: it beats the second-best structure by 8 meV per atom.

1 | DFT (PBE-GGA) results for a relaxed Mg2OsRh crystal.

abc: 4.891 4.891 4.891
angles: 132.37 132.37 69.64
Fractional positions:
Mg 0.000 0.000 0.000
Mg 0.500 0.500 0.000
Os 0.250 0.750 0.500
Rh 0.750 0.250 0.500

2 | DFT (PBE-GGA) results for a relaxed Mg2OsRh crystal.

abc: 7.146 7.146 5.704
angles: 51.22 51.22 90.00
Fractional positions:
Mg 0.375 0.386 0.750
Mg 0.875 0.864 0.750
Mg 0.136 0.625 0.250
Mg 0.614 0.125 0.250
Rh 0.250 0.750 0.500
Rh 0.500 0.500 0.000
Os 0.750 0.250 0.500
Os 0.000 0.000 0.000

Pick 1: it beats the second-best structure by 431 meV per atom.

1 | DFT (PBE-GGA) results for a relaxed Mg2OsRh crystal.

abc: 8.928 8.928 8.928
angles: 18.38 18.38 18.38
Fractional positions:
Os 0.250 0.250 0.250
Mg 0.498 0.498 0.498
Mg 0.002 0.002 0.002
Rh 0.750 0.750 0.750

2 | DFT (PBE-GGA) results for a relaxed Mg2OsRh crystal.

abc: 9.500 9.500 9.500
angles: 17.23 17.23 17.23
Fractional positions:
Mg 0.009 0.009 0.009
Mg 0.243 0.243 0.243
Rh 0.754 0.754 0.754
Os 0.495 0.495 0.495

Pick 1: it beats the second-best structure by 96 meV per atom.

1 | DFT (PBE-GGA) results for a relaxed Mg2OsRh crystal.

abc: 4.467 4.467 4.467
angles: 60.00 60.00 60.00
Fractional positions:
Mg 0.250 0.250 0.250
Mg 0.000 0.000 0.000
Os 0.500 0.500 0.500
Rh 0.750 0.750 0.750

2 | DFT (PBE-GGA) results for a relaxed Mg2OsRh crystal.

abc: 4.579 4.579 2.918
angles: 90.00 90.00 90.00
Fractional positions:
Mg 0.500 0.500 0.000
Mg 0.000 0.000 0.000
Os 0.500 0.000 0.500
Rh 0.000 0.500 0.500

Pick 2: it beats the second-best structure by 53 meV per atom.

1 | DFT (PBE-GGA) results for a relaxed Mg2OsRh crystal.

abc: 2.775 2.775 8.661
angles: 90.00 90.00 112.47
Fractional positions:
Mg 0.000 0.000 0.993
Mg 0.000 0.000 0.507
Rh 0.500 0.500 0.750
Os 0.500 0.500 0.250

2 | DFT (PBE-GGA) results for a relaxed Mg2OsRh crystal.

abc: 3.934 3.988 3.988
angles: 90.00 90.00 90.00
Fractional positions:
Mg 0.000 0.000 0.000
Mg 0.000 0.500 0.500
Os 0.500 0.500 0.000
Rh 0.500 0.000 0.500

Pick 1: it beats the second-best structure by 105 meV per atom.

1 | DFT (PBE-GGA) results for a relaxed Mg2OsRh crystal.

abc: 2.839 2.839 8.347
angles: 90.00 90.00 90.00
Fractional positions:
Mg 0.000 0.000 0.961
Mg 0.500 0.500 0.286
Os 0.000 0.000 0.525
Rh 0.500 0.500 0.728

2 | DFT (PBE-GGA) results for a relaxed Mg2OsRh crystal.

abc: 4.653 2.842 4.685
angles: 89.96 90.00 90.00
Fractional positions:
Rh 0.500 0.874 0.696
Mg 0.500 0.374 0.206
Mg 0.000 0.876 0.046
Os 0.000 0.376 0.552

3 | DFT (PBE-GGA) results for a relaxed Mg2OsRh crystal.

abc: 5.266 5.266 4.834
angles: 68.21 68.21 30.71
Fractional positions:
Mg 0.018 0.018 0.921
Mg 0.235 0.235 0.322
Rh 0.767 0.767 0.818
Os 0.480 0.480 0.439

Pick 3: it beats the second-best structure by 47 meV per atom.

1 | DFT (PBE-GGA) results for a relaxed Mg2OsRh crystal.

abc: 4.331 2.749 5.207
angles: 83.75 90.00 90.00
Fractional positions:
Os 0.500 0.250 0.250
Mg 0.000 0.980 0.999
Mg 0.000 0.520 0.501
Rh 0.500 0.750 0.750

2 | DFT (PBE-GGA) results for a relaxed Mg2OsRh crystal.

abc: 2.757 4.015 5.623
angles: 90.00 90.00 90.00
Fractional positions:
Os 0.500 0.500 0.250
Mg 0.000 0.000 0.999
Mg 0.000 0.000 0.501
Rh 0.500 0.500 0.750

3 | DFT (PBE-GGA) results for a relaxed Mg2OsRh crystal.

abc: 4.424 4.424 4.424
angles: 60.00 60.00 60.00
Fractional positions:
Mg 0.250 0.250 0.250
Mg 0.750 0.750 0.750
Rh 0.000 0.000 0.000
Os 0.500 0.500 0.500

Pick 1: it beats the second-best structure by 25 meV per atom.

1 | DFT (PBE-GGA) results for a relaxed Mg3OsS crystal.

abc: 4.635 4.635 4.635
angles: 90.00 90.00 90.00
Fractional positions:
Mg 0.000 0.500 0.000
Mg 0.000 0.000 0.500
Mg 0.500 0.000 0.000
S 0.000 0.000 0.000
Os 0.500 0.500 0.500

2 | DFT (PBE-GGA) results for a relaxed Mg3OsS crystal.

abc: 4.929 4.929 4.929
angles: 90.00 90.00 90.00
Fractional positions:
Os 0.000 0.000 0.000
Mg 0.000 0.500 0.000
Mg 0.000 0.000 0.500
Mg 0.500 0.000 0.000
S 0.500 0.500 0.500

Pick 1: it beats the second-best structure by 217 meV per atom.

1 | DFT (PBE-GGA) results for a relaxed MgOs2S crystal.

abc: 4.286 4.286 4.286
angles: 60.00 60.00 60.00
Fractional positions:
Os 0.250 0.250 0.250
Os 0.750 0.750 0.750
S 0.500 0.500 0.500
Mg 0.000 0.000 0.000

2 | DFT (PBE-GGA) results for a relaxed MgOs2S crystal.

abc: 7.109 7.109 5.636
angles: 50.90 50.90 90.00
Fractional positions:
S 0.750 0.250 0.500
S 0.000 0.000 0.000
Mg 0.500 0.500 0.000
Mg 0.250 0.750 0.500
Os 0.875 0.962 0.750
Os 0.375 0.288 0.750
Os 0.038 0.625 0.250
Os 0.712 0.125 0.250

Pick 2: it beats the second-best structure by 274 meV per atom.

1 | DFT (PBE-GGA) results for a relaxed Mg3ScOs crystal.

abc: 5.204 5.204 5.204
angles: 90.00 90.00 90.00
Fractional positions:
Os 0.500 0.500 0.500
Mg 0.000 0.500 0.000
Mg 0.000 0.000 0.500
Mg 0.500 0.000 0.000
Sc 0.000 0.000 0.000

2 | DFT (PBE-GGA) results for a relaxed Mg3ScOs crystal.

abc: 4.938 4.938 4.938
angles: 90.00 90.00 90.00
Fractional positions:
Mg 0.000 0.500 0.000
Mg 0.500 0.000 0.000
Mg 0.000 0.000 0.500
Os 0.000 0.000 0.000
Sc 0.500 0.500 0.500

Pick 2: it beats the second-best structure by 1499 meV per atom.

1 | DFT (PBE-GGA) results for a relaxed MgScOs3 crystal.

abc: 4.496 4.496 4.496
angles: 90.00 90.00 90.00
Fractional positions:
Mg 0.000 0.000 0.000
Sc 0.500 0.500 0.500
Os 0.000 0.000 0.500
Os 0.000 0.500 0.000
Os 0.500 0.000 0.000

2 | DFT (PBE-GGA) results for a relaxed MgScOs3 crystal.

abc: 4.668 4.668 4.668
angles: 90.00 90.00 90.00
Fractional positions:
Os 0.000 0.500 0.000
Os 0.000 0.000 0.500
Os 0.500 0.000 0.000
Sc 0.000 0.000 0.000
Mg 0.500 0.500 0.500

Pick 1: it beats the second-best structure by 301 meV per atom.